1.
VASP calculation (PBE-GGA) on a relaxed structure of Li2LaMo.

Geometry as CIF:
```
data_Li2LaMo
_space_group_name_H-M_alt 'P 4 m m'
_space_group_IT_number 99
_space_group_name_Hall 'P 4 -2'
_cell_length_a 2.906
_cell_length_b 2.906
_cell_length_c 9.798
_cell_angle_alpha 90.00
_cell_angle_beta 90.00
_cell_angle_gamma 90.00
loop_
_atom_site_label
_atom_site_fract_x
_atom_site_fract_y
_atom_site_fract_z
Li1 0.000 0.000 0.000
Li2 0.500 0.500 0.228
La1 0.500 0.500 0.694
Mo1 0.000 0.000 0.436
```

## Properties
M_tot in μB per cell: 0.0
Energy of formation from the pure elements in kJ/mol of atoms: 42.3
Energy above the most stable polymorph in this dataset in eV per atom: 0.027
DOS(E_F) in states/eV per atom: 0.9814

---

2.
VASP calculation (PBE-GGA) on a relaxed structure of Si2Ir2Au.

Geometry as CIF:
```
data_Si2Ir2Au
_space_group_name_H-M_alt 'I 4/m m m'
_space_group_IT_number 139
_space_group_name_Hall '-I 4 2'
_cell_length_a 3.694
_cell_length_b 3.694
_cell_length_c 11.462
_cell_angle_alpha 90.00
_cell_angle_beta 90.00
_cell_angle_gamma 90.00
loop_
_atom_site_label
_atom_site_fract_x
_atom_site_fract_y
_atom_site_fract_z
Si1 0.000 0.500 0.250
Ir1 0.000 0.000 0.119
Au1 0.000 0.000 0.500
```

## Properties
M_tot in μB per cell: 0.0
Energy above the most stable polymorph in this dataset in eV per atom: 0.000
DOS(E_F) in states/eV per atom: 0.1653
Raw formation energy in eV per atom: -0.472

---

3.
VASP calculation (PBE-GGA) on a relaxed structure of TbErSnSe.

Geometry as CIF:
```
data_TbErSnSe
_space_group_name_H-M_alt 'P 4/m m m'
_space_group_IT_number 123
_space_group_name_Hall '-P 4 2'
_cell_length_a 4.256
_cell_length_b 4.256
_cell_length_c 5.982
_cell_angle_alpha 90.00
_cell_angle_beta 90.00
_cell_angle_gamma 90.00
loop_
_atom_site_label
_atom_site_fract_x
_atom_site_fract_y
_atom_site_fract_z
Tb1 0.000 0.000 0.000
Er1 0.500 0.500 0.500
Sn1 0.500 0.500 0.000
Se1 0.000 0.000 0.500
```

## Properties
M_tot in μB per cell: 0.0
DOS(E_F) in states/eV per atom: 0.1631
Raw formation energy in eV per atom: -1.220

---

4.
VASP calculation (PBE-GGA) on a relaxed structure of Li2AsW.

Geometry as CIF:
```
data_Li2AsW
_space_group_name_H-M_alt 'C 1 2/m 1'
_space_group_IT_number 12
_space_group_name_Hall '-C 2y'
_cell_length_a 5.012
_cell_length_b 9.390
_cell_length_c 2.727
_cell_angle_alpha 90.00
_cell_angle_beta 105.42
_cell_angle_gamma 90.00
loop_
_atom_site_label
_atom_site_fract_x
_atom_site_fract_y
_atom_site_fract_z
Li1 0.250 0.250 0.000
As1 0.000 0.000 0.500
W1 0.000 0.500 0.500
```

## Properties
M_tot in μB per cell: 0.0
Energy of formation from the pure elements in kJ/mol of atoms: 12.3
DOS(E_F) in states/eV per atom: 0.4422

---

Question: Number 4 is which compound?
Answer: Li2AsW

---

Question: Which value of DOS(E_F) does entry 2 give?
Answer: 0.1653 states/eV per atom

---

Question: DOS(E_F) of number 3 (TbErSnSe)?
Answer: 0.1631 states/eV per atom